Material: K2RbCdSb
Method: DFT, PBE
State: optimized geometry

Cell lengths 6.826, 6.826, 5.903 Å; angles 90.00, 90.00, 90.00 degrees
Atoms (fractional coordinates):
K 0.000 0.500 0.000
K 0.500 0.000 0.000
Rb 0.000 0.000 0.500
Cd 0.500 0.500 0.500
Sb 0.500 0.500 0.000

Properties
As for the density of states at the Fermi level: 0.6965 states/eV per atom. As for the space group: P4/mmm (123). The value obtained for the uncorrected formation energy is -0.110 eV/atom. The value obtained for the total energy is -1.750 eV per atom. The spin magnetization is 0.598 μB per formula unit. As for the crystal system: tetragonal.